(1)
The following is a PBE calculation of a geometry-optimized LaTm2Si2 structure, from Alexandria via LeMat-Bulk.

Lattice parameters (Å, degrees): 5.2220 4.0509 12.0538 90.00 97.52 90.00
Space group P2_1/m (No. 11)
Symmetry-distinct sites (fractional):
La1 0.1904 0.2500 0.2354 [2 per cell]
Tm1 0.2435 0.7500 0.4767 [2 per cell]
Tm2 0.3469 0.2500 0.8926 [2 per cell]
Si1 0.1343 0.7500 0.0271 [2 per cell]
Si2 0.2951 0.2500 0.6551 [2 per cell]

Output
**Density of states at the Fermi level**: 1.0899 states/eV per atom
**ΔE_f (raw)**: -0.48 eV/atom
**Total magnetization**: 0.09 μB/atom


(2)
The following is a PBE calculation of a geometry-optimized LaTmSi4 structure, from Alexandria via LeMat-Bulk.

Lattice parameters (Å, degrees): 7.4187 16.2039 4.1533 90.00 90.00 90.00
Space group Pbam (No. 55)
Symmetry-distinct sites (fractional):
La1 0.1294 0.1664 0.0000 [4 per cell]
Tm1 0.1342 0.4132 0.0000 [4 per cell]
Si1 0.0310 0.6867 0.5000 [4 per cell]
Si2 0.1019 0.9437 0.5000 [4 per cell]
Si3 0.1429 0.5428 0.5000 [4 per cell]
Si4 0.2109 0.8040 0.5000 [4 per cell]

Output
**Density of states at the Fermi level**: 0.3834 states/eV per atom
**ΔE_f (raw)**: -0.52 eV/atom
**Total magnetization**: 0.00 μB/atom


| no. | total energy (Ry per atom) |
| --- | --- |
| 1 | -0.3983 |
| 2 | -0.4193 |